Record 1
Entry from Alexandria via LeMat-Bulk: a PBEsol-optimized structure of RbBa2H (SCAN).

Computed properties:
SG = I-42d (122)
Calculated density = 3.01 g cm⁻³
Calculated total energy = -25.909 eV/atom

Unit cell a=8.5083 b=8.5083 c=11.0108 alpha=90.00 beta=90.00 gamma=90.00
With the nearest neighbours (Å) after each atom.
Atoms (fractional coordinates):
Rb: 0.0000 0.0000 0.0000  8 Ba 4.39-4.69
Rb: 0.0000 0.5000 0.2500  8 Ba 4.39-4.69
Rb: 0.5000 0.0000 0.7500  8 Ba 4.39-4.69
Rb: 0.5000 0.5000 0.5000  8 Ba 4.39-4.69
Ba: 0.0789 0.2500 0.6250  2 H 2.62
Ba: 0.2500 0.5789 0.8750  2 H 2.62
Ba: 0.2500 0.9211 0.3750  2 H 2.62
Ba: 0.4211 0.2500 0.1250  2 H 2.62
Ba: 0.5789 0.7500 0.1250  2 H 2.62
Ba: 0.7500 0.0789 0.3750  2 H 2.62
Ba: 0.7500 0.4211 0.8750  2 H 2.62
Ba: 0.9211 0.7500 0.6250  2 H 2.62
H: 0.0000 0.0000 0.5000  4 Ba 2.62
H: 0.0000 0.5000 0.7500  4 Ba 2.62
H: 0.5000 0.0000 0.2500  4 Ba 2.62
H: 0.5000 0.5000 0.0000  4 Ba 2.62

---

Record 2
Entry from Alexandria via LeMat-Bulk: a PBEsol-optimized structure of RbBa2H (SCAN).

Computed properties:
SG = Fm-3m (225)
Calculated density = 3.18 g cm⁻³
Calculated total energy = -25.239 eV/atom

Unit cell a=9.1049 b=9.1049 c=9.1049 alpha=90.00 beta=90.00 gamma=90.00
With the nearest neighbours (Å) after each atom.
Atoms (fractional coordinates):
Rb: 0.0000 0.0000 0.0000  8 Ba 3.94
Rb: 0.0000 0.5000 0.5000  8 Ba 3.94
Rb: 0.5000 0.0000 0.5000  8 Ba 3.94
Rb: 0.5000 0.5000 0.0000  8 Ba 3.94
Ba: 0.2500 0.2500 0.2500  4 Rb 3.94, 4 H 3.94
Ba: 0.2500 0.2500 0.7500  4 H 3.94, 4 Rb 3.94
Ba: 0.2500 0.7500 0.2500  4 H 3.94, 4 Rb 3.94
Ba: 0.2500 0.7500 0.7500  4 Rb 3.94, 4 H 3.94
Ba: 0.7500 0.2500 0.2500  4 H 3.94, 4 Rb 3.94
Ba: 0.7500 0.2500 0.7500  4 Rb 3.94, 4 H 3.94
Ba: 0.7500 0.7500 0.2500  4 Rb 3.94, 4 H 3.94
Ba: 0.7500 0.7500 0.7500  4 H 3.94, 4 Rb 3.94
H: 0.0000 0.0000 0.5000  8 Ba 3.94
H: 0.0000 0.5000 0.0000  8 Ba 3.94
H: 0.5000 0.0000 0.0000  8 Ba 3.94
H: 0.5000 0.5000 0.5000  8 Ba 3.94

---

Record 3
Entry from Alexandria via LeMat-Bulk: a PBEsol-optimized structure of Ba2HRu (SCAN).

Computed properties:
SG = I-42d (122)
Calculated density = 5.44 g cm⁻³
Calculated total energy = -28.905 eV/atom

Unit cell a=5.8833 b=5.8833 c=13.2962 alpha=90.00 beta=90.00 gamma=90.00
With the nearest neighbours (Å) after each atom.
Atoms (fractional coordinates):
Ba: 0.2379 0.2500 0.1250  2 H 2.62, 2 Ru 2.70
Ba: 0.2500 0.7379 0.3750  2 H 2.62, 2 Ru 2.70
Ba: 0.2500 0.7621 0.8750  2 H 2.62, 2 Ru 2.70
Ba: 0.2621 0.2500 0.6250  2 H 2.62, 2 Ru 2.70
Ba: 0.7379 0.7500 0.6250  2 H 2.62, 2 Ru 2.70
Ba: 0.7500 0.2379 0.8750  2 H 2.62, 2 Ru 2.70
Ba: 0.7500 0.2621 0.3750  2 H 2.62, 2 Ru 2.70
Ba: 0.7621 0.7500 0.1250  2 H 2.62, 2 Ru 2.70
H: 0.0000 0.0000 0.0000  4 Ba 2.62
H: 0.0000 0.5000 0.2500  4 Ba 2.62
H: 0.5000 0.0000 0.7500  4 Ba 2.62
H: 0.5000 0.5000 0.5000  4 Ba 2.62
Ru: 0.0000 0.0000 0.5000  4 Ba 2.70
Ru: 0.0000 0.5000 0.7500  4 Ba 2.70
Ru: 0.5000 0.0000 0.2500  4 Ba 2.70
Ru: 0.5000 0.5000 0.0000  4 Ba 2.70

---

Record 4
Entry from Alexandria via LeMat-Bulk: a PBEsol-optimized structure of Ba2Sb2H (SCAN).

Computed properties:
SG = I4/mmm (139)
Calculated density = 4.36 g cm⁻³
Calculated total energy = -31.729 eV/atom

Unit cell a=6.5298 b=6.5298 c=9.2755 alpha=90.00 beta=90.00 gamma=90.00
With the nearest neighbours (Å) after each atom.
Atoms (fractional coordinates):
Ba: 0.0000 0.5000 0.2500  4 Sb 3.39
Ba: 0.0000 0.5000 0.7500  4 Sb 3.39
Ba: 0.5000 0.0000 0.2500  4 Sb 3.39
Ba: 0.5000 0.0000 0.7500  4 Sb 3.39
Sb: 0.0000 0.0000 0.1510  1 Sb 2.80
Sb: 0.0000 0.0000 0.8490  1 Sb 2.80
Sb: 0.5000 0.5000 0.3490  1 Sb 2.80
Sb: 0.5000 0.5000 0.6510  1 Sb 2.80
H: 0.0000 0.0000 0.5000  2 Sb 3.24
H: 0.5000 0.5000 0.0000  2 Sb 3.24

---

Record 5
Entry from Alexandria via LeMat-Bulk: a PBEsol-optimized structure of BaSbH3 (SCAN).

Computed properties:
SG = Pm-3m (221)
Calculated density = 4.57 g cm⁻³
Calculated total energy = -16.831 eV/atom

Unit cell a=4.5661 b=4.5661 c=4.5661 alpha=90.00 beta=90.00 gamma=90.00
With the nearest neighbours (Å) after each atom.
Atoms (fractional coordinates):
Ba: 0.0000 0.0000 0.0000  6 H 2.28
Sb: 0.5000 0.5000 0.5000  12 H 3.23
H: 0.0000 0.0000 0.5000  2 Ba 2.28
H: 0.0000 0.5000 0.0000  2 Ba 2.28
H: 0.5000 0.0000 0.0000  2 Ba 2.28

---

Record 6
Entry from Alexandria via LeMat-Bulk: a PBEsol-optimized structure of BaSb2TeH (SCAN).

Computed properties:
SG = P4/mmm (123)
Calculated density = 6.73 g cm⁻³
Calculated total energy = -31.150 eV/atom

Unit cell a=4.7064 b=4.7064 c=5.6711 alpha=90.00 beta=90.00 gamma=90.00
With the nearest neighbours (Å) after each atom.
Atoms (fractional coordinates):
Ba: 0.0000 0.0000 0.0000  4 Te 3.33, 8 Sb 3.68
Sb: 0.0000 0.5000 0.5000  2 H 2.35
Sb: 0.5000 0.0000 0.5000  2 H 2.35
Te: 0.5000 0.5000 0.0000  2 H 2.84
H: 0.5000 0.5000 0.5000  4 Sb 2.35

---

Record 7
Entry from Alexandria via LeMat-Bulk: a PBEsol-optimized structure of BaSbTe2H (SCAN).

Computed properties:
SG = P4/mmm (123)
Calculated density = 3.06 g cm⁻³
Calculated total energy = -30.098 eV/atom

Unit cell a=6.5038 b=6.5038 c=6.6028 alpha=90.00 beta=90.00 gamma=90.00
With the nearest neighbours (Å) after each atom.
Atoms (fractional coordinates):
Ba: 0.0000 0.0000 0.0000  4 Te 3.25, 2 Sb 3.30
Sb: 0.0000 0.0000 0.5000  2 Ba 3.30
Te: 0.0000 0.5000 0.0000  2 Ba 3.25
Te: 0.5000 0.0000 0.0000  2 Ba 3.25
H: 0.5000 0.5000 0.5000  4 Sb 4.60, 8 Te 4.63

---

Record 8
Entry from Alexandria via LeMat-Bulk: a PBEsol-optimized structure of BaSnH3 (SCAN).

Computed properties:
SG = Pm-3m (221)
Calculated density = 5.48 g cm⁻³
Calculated total energy = -17.181 eV/atom

Unit cell a=4.2808 b=4.2808 c=4.2808 alpha=90.00 beta=90.00 gamma=90.00
With the nearest neighbours (Å) after each atom.
Atoms (fractional coordinates):
Ba: 0.0000 0.0000 0.0000  12 H 3.03
Sn: 0.5000 0.5000 0.5000  6 H 2.14
H: 0.0000 0.5000 0.5000  2 Sn 2.14
H: 0.5000 0.0000 0.5000  2 Sn 2.14
H: 0.5000 0.5000 0.0000  2 Sn 2.14

---

Record 9
Entry from Alexandria via LeMat-Bulk: a PBEsol-optimized structure of BaSr2H2 (SCAN).

Computed properties:
SG = I4/mmm (139)
Calculated density = 3.27 g cm⁻³
Calculated total energy = -18.557 eV/atom

Unit cell a=4.0726 b=4.0726 c=19.2710 alpha=90.00 beta=90.00 gamma=90.00
With the nearest neighbours (Å) after each atom.
Atoms (fractional coordinates):
Ba: 0.0000 0.0000 0.0000  4 Ba 4.07, 8 Sr 4.51
Ba: 0.5000 0.5000 0.5000  4 Ba 4.07, 8 Sr 4.51
Sr: 0.0000 0.0000 0.3198  4 H 2.44
Sr: 0.0000 0.0000 0.6802  4 H 2.44
Sr: 0.5000 0.5000 0.1802  4 H 2.44
Sr: 0.5000 0.5000 0.8198  4 H 2.44
H: 0.0000 0.5000 0.2500  4 Sr 2.44
H: 0.0000 0.5000 0.7500  4 Sr 2.44
H: 0.5000 0.0000 0.2500  4 Sr 2.44
H: 0.5000 0.0000 0.7500  4 Sr 2.44

---

Record 10
Entry from Alexandria via LeMat-Bulk: a PBEsol-optimized structure of Ba2SrH (SCAN).

Computed properties:
SG = I-42d (122)
Calculated density = 3.45 g cm⁻³
Calculated total energy = -26.373 eV/atom

Unit cell a=8.3109 b=8.3109 c=10.1365 alpha=90.00 beta=90.00 gamma=90.00
With the nearest neighbours (Å) after each atom.
Atoms (fractional coordinates):
Ba: 0.0902 0.2500 0.1250  2 H 2.55
Ba: 0.2500 0.5902 0.3750  2 H 2.55
Ba: 0.2500 0.9098 0.8750  2 H 2.55
Ba: 0.4098 0.2500 0.6250  2 H 2.55
Ba: 0.5902 0.7500 0.6250  2 H 2.55
Ba: 0.7500 0.0902 0.8750  2 H 2.55
Ba: 0.7500 0.4098 0.3750  2 H 2.55
Ba: 0.9098 0.7500 0.1250  2 H 2.55
Sr: 0.0000 0.0000 0.5000  8 Ba 4.19-4.40
Sr: 0.0000 0.5000 0.7500  8 Ba 4.19-4.40
Sr: 0.5000 0.0000 0.2500  8 Ba 4.19-4.40
Sr: 0.5000 0.5000 0.0000  8 Ba 4.19-4.40
H: 0.0000 0.0000 0.0000  4 Ba 2.55
H: 0.0000 0.5000 0.2500  4 Ba 2.55
H: 0.5000 0.0000 0.7500  4 Ba 2.55
H: 0.5000 0.5000 0.5000  4 Ba 2.55

---

Record 11
Entry from Alexandria via LeMat-Bulk: a PBEsol-optimized structure of Ba2SrH2 (SCAN).

Computed properties:
SG = I4/mmm (139)
Calculated density = 3.38 g cm⁻³
Calculated total energy = -21.982 eV/atom

Unit cell a=4.3292 b=4.3292 c=19.1108 alpha=90.00 beta=90.00 gamma=90.00
With the nearest neighbours (Å) after each atom.
Atoms (fractional coordinates):
Ba: 0.0000 0.0000 0.1761  4 H 2.58
Ba: 0.0000 0.0000 0.8239  4 H 2.58
Ba: 0.5000 0.5000 0.3239  4 H 2.58
Ba: 0.5000 0.5000 0.6761  4 H 2.58
Sr: 0.0000 0.0000 0.5000  4 Sr 4.33, 8 Ba 4.55
Sr: 0.5000 0.5000 0.0000  4 Sr 4.33, 8 Ba 4.55
H: 0.0000 0.5000 0.2500  4 Ba 2.58
H: 0.0000 0.5000 0.7500  4 Ba 2.58
H: 0.5000 0.0000 0.2500  4 Ba 2.58
H: 0.5000 0.0000 0.7500  4 Ba 2.58

---

Record 12
Entry from Alexandria via LeMat-Bulk: a PBEsol-optimized structure of BaTe3H (SCAN).

Computed properties:
SG = Pm-3m (221)
Calculated density = 2.88 g cm⁻³
Calculated total energy = -30.373 eV/atom

Unit cell a=6.7000 b=6.7000 c=6.7000 alpha=90.00 beta=90.00 gamma=90.00
With the nearest neighbours (Å) after each atom.
Atoms (fractional coordinates):
Ba: 0.0000 0.0000 0.0000  6 Te 3.35
Te: 0.0000 0.0000 0.5000  2 Ba 3.35
Te: 0.0000 0.5000 0.0000  2 Ba 3.35
Te: 0.5000 0.0000 0.0000  2 Ba 3.35
H: 0.5000 0.5000 0.5000  12 Te 4.74

---

What is the formula in the second record?
RbBa2H

---

Among the records above, which one has the lowest calculated density?
BaTe3H

---

Please write out number 5 again, unchanged.
Entry from Alexandria via LeMat-Bulk: a PBEsol-optimized structure of BaSbH3 (SCAN).

Computed properties:
SG = Pm-3m (221)
Calculated density = 4.57 g cm⁻³
Calculated total energy = -16.831 eV/atom

Unit cell a=4.5661 b=4.5661 c=4.5661 alpha=90.00 beta=90.00 gamma=90.00
With the nearest neighbours (Å) after each atom.
Atoms (fractional coordinates):
Ba: 0.0000 0.0000 0.0000  6 H 2.28
Sb: 0.5000 0.5000 0.5000  12 H 3.23
H: 0.0000 0.0000 0.5000  2 Ba 2.28
H: 0.0000 0.5000 0.0000  2 Ba 2.28
H: 0.5000 0.0000 0.0000  2 Ba 2.28